# 1
Entry from Alexandria via LeMat-Bulk: a relaxed SrReP2 crystal (PBE).

The value obtained for the relative energy among the computed polymorphs is 14 meV/atom. The total energy is -6.65 eV per atom. The calculated volume is 20.677 A^3/atom.

It has space group R3m (No. 160, hexagonal axes), with a = 3.9175 Å, b = 3.9175 Å, c = 18.6762 Å, α = 90.00°, β = 90.00° and γ = 120.00°. The inequivalent atoms are Sr at (0.0000, 0.0000, 0.0000), Re at (0.0000, 0.0000, 0.8152), P at (0.0000, 0.0000, 0.2207) and P at (0.0000, 0.0000, 0.4497).

# 2
Entry from Alexandria via LeMat-Bulk: a relaxed SrReP2 crystal (PBE).

The value obtained for the relative energy among the computed polymorphs is 1077 meV/atom. The total energy is -5.58 eV per atom. The calculated volume is 19.163 A^3/atom.

It has space group I-4m2 (No. 119), with a = 3.924 Å, b = 3.924 Å, c = 9.955 Å, α = 90.00°, β = 90.00° and γ = 90.00°. The inequivalent atoms are Sr at (0.000, 0.000, 0.000), Re at (0.000, 0.500, 0.250), P at (0.000, 0.000, 0.500) and P at (0.000, 0.500, 0.750).

# 3
Entry from Alexandria via LeMat-Bulk: a relaxed SrReP2 crystal (PBE).

The value obtained for the relative energy among the computed polymorphs is 434 meV/atom. The total energy is -6.23 eV per atom. The calculated volume is 18.475 A^3/atom.

It has space group P4mm (No. 99), with a = 3.248 Å, b = 3.248 Å, c = 7.004 Å, α = 90.00°, β = 90.00° and γ = 90.00°. The inequivalent atoms are Sr at (0.000, 0.000, 0.000), Re at (0.500, 0.500, 0.636), P at (0.000, 0.000, 0.509) and P at (0.500, 0.500, 0.295).

Question: What is the formula in the second record?
Answer: SrReP2

Please write out number 2 again, unchanged.
Entry from Alexandria via LeMat-Bulk: a relaxed SrReP2 crystal (PBE).

The value obtained for the relative energy among the computed polymorphs is 1077 meV/atom. The total energy is -5.58 eV per atom. The calculated volume is 19.163 A^3/atom.

It has space group I-4m2 (No. 119), with a = 3.924 Å, b = 3.924 Å, c = 9.955 Å, α = 90.00°, β = 90.00° and γ = 90.00°. The inequivalent atoms are Sr at (0.000, 0.000, 0.000), Re at (0.000, 0.500, 0.250), P at (0.000, 0.000, 0.500) and P at (0.000, 0.500, 0.750).

Question: Which of these has the highest relative energy among the computed polymorphs?
Answer: number 2